1.
PuPaPdRu | PBE | relaxed

Lattice parameters (Å, degrees): 3.952 3.833 11.462 90.00 90.00 90.00
Atoms (fractional coordinates):
Pu 0.000 0.000 0.000
Pu 0.000 0.500 0.500
Pa 0.500 0.000 0.281
Pa 0.500 0.500 0.781
Pd 0.500 0.000 0.564
Pd 0.500 0.500 0.064
Ru 0.000 0.000 0.752
Ru 0.000 0.500 0.252

Calculated values
DFT formation energy in eV/atom: -0.407
N(E_F) in states/eV/atom: 3.04
M_tot in μB/atom: 1.366
Distance to the lowest polymorph of the same formula in meV/atom: 0

2.
La2ScFe | PBE | relaxed

Lattice parameters (Å, degrees): 3.337 3.337 9.306 90.00 90.00 90.00
Atoms (fractional coordinates):
La 0.000 0.000 0.000
La 0.500 0.500 0.356
Sc 0.000 0.000 0.659
Fe 0.500 0.500 0.808

Calculated values
DFT formation energy in eV/atom: 0.116
N(E_F) in states/eV/atom: 1.22
M_tot in μB/atom: 0.000
Distance to the lowest polymorph of the same formula in meV/atom: 0

3.
PaReNi2 | PBE | relaxed

Lattice parameters (Å, degrees): 3.996 3.996 3.870 90.00 90.00 90.00
Atoms (fractional coordinates):
Pa 0.000 0.000 0.000
Re 0.500 0.500 0.000
Ni 0.000 0.500 0.500
Ni 0.500 0.000 0.500

Calculated values
DFT formation energy in eV/atom: -0.198
N(E_F) in states/eV/atom: 1.18
M_tot in μB/atom: 0.000
Distance to the lowest polymorph of the same formula in meV/atom: 0

4.
YZnTe2 | PBE | relaxed

Lattice parameters (Å, degrees): 6.747 6.747 12.801 90.00 90.00 90.00
Atoms (fractional coordinates):
Y 0.000 0.000 0.000
Y 0.000 0.500 0.250
Y 0.500 0.000 0.750
Y 0.500 0.500 0.500
Zn 0.000 0.000 0.500
Zn 0.000 0.500 0.750
Zn 0.500 0.000 0.250
Zn 0.500 0.500 0.000
Te 0.222 0.250 0.625
Te 0.250 0.722 0.875
Te 0.250 0.778 0.375
Te 0.278 0.250 0.125
Te 0.722 0.750 0.125
Te 0.750 0.222 0.375
Te 0.750 0.278 0.875
Te 0.778 0.750 0.625

Calculated values
N(E_F) in states/eV/atom: 0.97
M_tot in μB/atom: 0.000
Distance to the lowest polymorph of the same formula in meV/atom: 315

5.
Nd2Y4Ho2Tm | PBE | relaxed

Lattice parameters (Å, degrees): 9.527 9.527 9.583 115.19 115.19 21.84
Atoms (fractional coordinates):
Nd 0.165 0.165 0.497
Nd 0.835 0.835 0.503
Y 0.019 0.019 0.835
Y 0.314 0.314 0.166
Y 0.686 0.686 0.834
Y 0.981 0.981 0.165
Ho 0.353 0.353 0.837
Ho 0.647 0.647 0.163
Tm 0.500 0.500 0.500

Calculated values
DFT formation energy in eV/atom: -0.002
N(E_F) in states/eV/atom: 1.41
M_tot in μB/atom: 0.000

6.
SrInW3 | PBE | relaxed

Lattice parameters (Å, degrees): 5.040 5.040 5.040 90.00 90.00 90.00
Atoms (fractional coordinates):
Sr 0.000 0.000 0.000
In 0.500 0.500 0.500
W 0.000 0.500 0.500
W 0.500 0.000 0.500
W 0.500 0.500 0.000

Calculated values
DFT formation energy in eV/atom: 2.517
N(E_F) in states/eV/atom: 1.52
M_tot in μB/atom: 0.000
Distance to the lowest polymorph of the same formula in meV/atom: 0

7.
La2Pm6Tm5 | PBE | relaxed

Lattice parameters (Å, degrees): 11.837 20.405 3.642 90.00 90.00 90.00
Atoms (fractional coordinates):
La 0.165 0.218 0.000
La 0.335 0.718 0.000
La 0.665 0.282 0.000
La 0.835 0.782 0.000
Pm 0.058 0.924 0.000
Pm 0.080 0.636 0.000
Pm 0.178 0.377 0.500
Pm 0.322 0.877 0.500
Pm 0.420 0.136 0.000
Pm 0.442 0.424 0.000
Pm 0.558 0.576 0.000
Pm 0.580 0.864 0.000
Pm 0.678 0.123 0.500
Pm 0.822 0.623 0.500
Pm 0.920 0.364 0.000
Pm 0.942 0.076 0.000
Tm 0.000 0.500 0.500
Tm 0.096 0.779 0.500
Tm 0.200 0.054 0.500
Tm 0.300 0.554 0.500
Tm 0.404 0.279 0.500
Tm 0.500 0.000 0.500
Tm 0.596 0.721 0.500
Tm 0.700 0.446 0.500
Tm 0.800 0.946 0.500
Tm 0.904 0.221 0.500

Calculated values
DFT formation energy in eV/atom: 0.102
N(E_F) in states/eV/atom: 1.24
M_tot in μB/atom: 0.000

8.
Ba2NaZnCu | PBE | relaxed

Lattice parameters (Å, degrees): 6.315 6.315 4.824 90.00 90.00 90.00
Atoms (fractional coordinates):
Ba 0.000 0.500 0.000
Ba 0.500 0.000 0.000
Na 0.000 0.000 0.500
Zn 0.500 0.500 0.500
Cu 0.500 0.500 0.000

Calculated values
DFT formation energy in eV/atom: 0.009
N(E_F) in states/eV/atom: 0.96
M_tot in μB/atom: 0.000
Distance to the lowest polymorph of the same formula in meV/atom: 0

9.
TeRu2Pb | PBE | relaxed

Lattice parameters (Å, degrees): 3.294 4.968 4.799 90.00 90.00 90.00
Atoms (fractional coordinates):
Te 0.000 0.000 0.000
Ru 0.000 0.500 0.213
Ru 0.500 0.000 0.409
Pb 0.500 0.500 0.690

Calculated values
N(E_F) in states/eV/atom: 0.93
M_tot in μB/atom: 0.000
Distance to the lowest polymorph of the same formula in meV/atom: 48

10.
Y4GeSbC | PBE | relaxed

Lattice parameters (Å, degrees): 8.426 8.426 6.733 90.00 90.00 132.96
Atoms (fractional coordinates):
Y 0.000 0.500 0.000
Y 0.000 0.500 0.500
Y 0.083 0.917 0.750
Y 0.408 0.592 0.750
Y 0.500 0.000 0.000
Y 0.500 0.000 0.500
Y 0.592 0.408 0.250
Y 0.917 0.083 0.250
Ge 0.113 0.887 0.250
Ge 0.887 0.113 0.750
Sb 0.393 0.607 0.250
Sb 0.607 0.393 0.750
C 0.247 0.753 0.750
C 0.753 0.247 0.250

Calculated values
Total energy in eV per atom: -6.995
N(E_F) in states/eV/atom: 0.55
M_tot in μB/atom: 0.000

11.
Ta2HgMo | PBE | relaxed

Lattice parameters (Å, degrees): 2.826 4.400 5.893 90.00 90.00 90.00
Atoms (fractional coordinates):
Ta 0.000 0.000 0.000
Ta 0.500 0.500 0.247
Hg 0.000 0.000 0.507
Mo 0.500 0.500 0.772

Calculated values
DFT formation energy in eV/atom: 0.365
N(E_F) in states/eV/atom: 1.01
M_tot in μB/atom: 0.000

12.
PbBrCl2 | PBE | relaxed

Lattice parameters (Å, degrees): 3.736 3.736 30.435 90.00 90.00 120.00
Atoms (fractional coordinates):
Pb 0.000 0.000 0.000
Pb 0.333 0.667 0.667
Pb 0.667 0.333 0.333
Br 0.000 0.000 0.500
Br 0.333 0.667 0.167
Br 0.667 0.333 0.833
Cl 0.000 0.000 0.085
Cl 0.000 0.000 0.915
Cl 0.333 0.667 0.581
Cl 0.333 0.667 0.752
Cl 0.667 0.333 0.248
Cl 0.667 0.333 0.419

Calculated values
N(E_F) in states/eV/atom: 0.96
M_tot in μB/atom: 0.307
Distance to the lowest polymorph of the same formula in meV/atom: 757

13.
CrReRu2 | PBE | relaxed

Lattice parameters (Å, degrees): 4.488 4.488 2.837 90.00 90.00 90.00
Atoms (fractional coordinates):
Cr 0.000 0.000 0.000
Re 0.500 0.500 0.000
Ru 0.000 0.500 0.500
Ru 0.500 0.000 0.500

Calculated values
DFT formation energy in eV/atom: 0.310
N(E_F) in states/eV/atom: 1.36
M_tot in μB/atom: 0.733
Distance to the lowest polymorph of the same formula in meV/atom: 243

14.
Tb3Dy8Zr | PBE | relaxed

Lattice parameters (Å, degrees): 9.291 9.291 9.291 131.51 131.51 71.01
Atoms (fractional coordinates):
Tb 0.000 0.000 0.000
Tb 0.250 0.750 0.500
Tb 0.750 0.250 0.500
Dy 0.140 0.140 0.520
Dy 0.140 0.620 0.000
Dy 0.380 0.380 0.520
Dy 0.380 0.860 0.000
Dy 0.620 0.140 0.000
Dy 0.620 0.620 0.480
Dy 0.860 0.380 0.000
Dy 0.860 0.860 0.480
Zr 0.500 0.500 0.000

Calculated values
DFT formation energy in eV/atom: 0.738
N(E_F) in states/eV/atom: 1.15
M_tot in μB/atom: 0.000

15.
Cu2AgPd5 | PBE | relaxed

Lattice parameters (Å, degrees): 7.838 7.779 5.538 90.00 134.88 90.00
Atoms (fractional coordinates):
Cu 0.250 0.250 0.000
Cu 0.250 0.750 0.000
Cu 0.750 0.250 0.000
Cu 0.750 0.750 0.000
Ag 0.000 0.000 0.000
Ag 0.500 0.500 0.000
Pd 0.000 0.000 0.500
Pd 0.000 0.500 0.000
Pd 0.000 0.500 0.500
Pd 0.250 0.250 0.500
Pd 0.250 0.750 0.500
Pd 0.500 0.000 0.000
Pd 0.500 0.000 0.500
Pd 0.500 0.500 0.500
Pd 0.750 0.250 0.500
Pd 0.750 0.750 0.500

Calculated values
DFT formation energy in eV/atom: -0.029
N(E_F) in states/eV/atom: 1.14
M_tot in μB/atom: 0.000
Distance to the lowest polymorph of the same formula in meV/atom: 0

16.
SbTe3I | PBE | relaxed

Lattice parameters (Å, degrees): 5.771 5.771 5.771 90.00 90.00 90.00
Atoms (fractional coordinates):
Sb 0.000 0.000 0.000
Te 0.000 0.000 0.500
Te 0.000 0.500 0.000
Te 0.500 0.000 0.000
I 0.500 0.500 0.500

Calculated values
N(E_F) in states/eV/atom: 1.25
M_tot in μB/atom: 0.000
Distance to the lowest polymorph of the same formula in meV/atom: 457

17.
Tb2HoEr2Tm | PBE | relaxed

Lattice parameters (Å, degrees): 6.472 17.593 3.345 90.00 90.00 90.00
Atoms (fractional coordinates):
Tb 0.231 0.185 0.000
Tb 0.269 0.685 0.500
Tb 0.731 0.315 0.500
Tb 0.769 0.815 0.000
Ho 0.000 0.500 0.000
Ho 0.500 0.000 0.500
Er 0.229 0.353 0.500
Er 0.271 0.853 0.000
Er 0.729 0.147 0.000
Er 0.771 0.647 0.500
Tm 0.000 0.000 0.000
Tm 0.500 0.500 0.500

Calculated values
DFT formation energy in eV/atom: 0.281
N(E_F) in states/eV/atom: 1.53
M_tot in μB/atom: 0.000

18.
TlCuRe2 | PBE | relaxed

Lattice parameters (Å, degrees): 3.799 3.799 4.516 90.00 90.00 90.00
Atoms (fractional coordinates):
Tl 0.000 0.000 0.000
Cu 0.500 0.500 0.000
Re 0.000 0.500 0.500
Re 0.500 0.000 0.500

Calculated values
DFT formation energy in eV/atom: 0.919
N(E_F) in states/eV/atom: 1.17
M_tot in μB/atom: 0.000
Distance to the lowest polymorph of the same formula in meV/atom: 463

19.
LaHg2Mo | PBE | relaxed

Lattice parameters (Å, degrees): 3.143 5.062 5.772 90.00 94.37 90.00
Atoms (fractional coordinates):
La 0.000 0.000 0.000
Hg 0.458 0.500 0.783
Hg 0.468 0.000 0.480
Mo 0.822 0.500 0.332

Calculated values
DFT formation energy in eV/atom: 0.356
N(E_F) in states/eV/atom: 0.97
M_tot in μB/atom: 0.047
Distance to the lowest polymorph of the same formula in meV/atom: 114

20.
La2CeI6 | PBE | relaxed

Lattice parameters (Å, degrees): 9.307 9.307 11.370 113.45 113.45 26.52
Atoms (fractional coordinates):
La 0.149 0.149 0.305
La 0.851 0.851 0.695
Ce 0.500 0.500 0.000
I 0.141 0.141 0.021
I 0.201 0.201 0.622
I 0.486 0.486 0.701
I 0.514 0.514 0.299
I 0.799 0.799 0.378
I 0.859 0.859 0.979

Calculated values
N(E_F) in states/eV/atom: 1.00
M_tot in μB/atom: 0.393
Distance to the lowest polymorph of the same formula in meV/atom: 0

21.
ZnTe | PBE | relaxed

Lattice parameters (Å, degrees): 4.365 13.477 6.561 90.00 90.00 90.00
Atoms (fractional coordinates):
Zn 0.250 0.106 0.071
Zn 0.250 0.394 0.071
Zn 0.250 0.750 0.422
Zn 0.750 0.250 0.578
Zn 0.750 0.606 0.929
Zn 0.750 0.894 0.929
Te 0.250 0.250 0.346
Te 0.250 0.595 0.164
Te 0.250 0.905 0.164
Te 0.750 0.095 0.836
Te 0.750 0.405 0.836
Te 0.750 0.750 0.654

Calculated values
Total energy in eV per atom: -2.593
M_tot in μB/atom: 0.000

22.
SCl2O | PBE | relaxed

Lattice parameters (Å, degrees): 6.478 6.478 6.755 90.00 90.00 90.00
Atoms (fractional coordinates):
S 0.000 0.000 0.000
S 0.000 0.500 0.250
S 0.500 0.000 0.750
S 0.500 0.500 0.500
Cl 0.238 0.250 0.625
Cl 0.250 0.738 0.875
Cl 0.250 0.762 0.375
Cl 0.262 0.250 0.125
Cl 0.738 0.750 0.125
Cl 0.750 0.238 0.375
Cl 0.750 0.262 0.875
Cl 0.762 0.750 0.625
O 0.000 0.000 0.500
O 0.000 0.500 0.750
O 0.500 0.000 0.250
O 0.500 0.500 0.000

Calculated values
N(E_F) in states/eV/atom: 0.68
M_tot in μB/atom: 0.000
Distance to the lowest polymorph of the same formula in meV/atom: 1677

23.
TlSn2Hg | PBE | relaxed

Lattice parameters (Å, degrees): 4.454 4.454 23.356 90.00 90.00 90.00
Atoms (fractional coordinates):
Tl 0.000 0.000 0.000
Tl 0.000 0.500 0.250
Tl 0.500 0.000 0.750
Tl 0.500 0.500 0.500
Sn 0.245 0.250 0.625
Sn 0.250 0.745 0.875
Sn 0.250 0.755 0.375
Sn 0.255 0.250 0.125
Sn 0.745 0.750 0.125
Sn 0.750 0.245 0.375
Sn 0.750 0.255 0.875
Sn 0.755 0.750 0.625
Hg 0.000 0.000 0.500
Hg 0.000 0.500 0.750
Hg 0.500 0.000 0.250
Hg 0.500 0.500 0.000

Calculated values
DFT formation energy in eV/atom: 0.076
N(E_F) in states/eV/atom: 0.60
M_tot in μB/atom: 0.000
Distance to the lowest polymorph of the same formula in meV/atom: 61

24.
YSi2As | PBE | relaxed

Lattice parameters (Å, degrees): 7.139 7.139 6.765 90.00 90.00 90.00
Atoms (fractional coordinates):
Y 0.000 0.000 0.000
Y 0.000 0.500 0.250
Y 0.500 0.000 0.750
Y 0.500 0.500 0.500
Si 0.194 0.250 0.625
Si 0.250 0.694 0.875
Si 0.250 0.806 0.375
Si 0.306 0.250 0.125
Si 0.694 0.750 0.125
Si 0.750 0.194 0.375
Si 0.750 0.306 0.875
Si 0.806 0.750 0.625
As 0.000 0.000 0.500
As 0.000 0.500 0.750
As 0.500 0.000 0.250
As 0.500 0.500 0.000

Calculated values
Total energy in eV per atom: -5.545
N(E_F) in states/eV/atom: 0.55
M_tot in μB/atom: 0.000